DFT (GGA-PBE) results for a relaxed structure of NaTmSn2S4.

As for the total magnetization: 0.00 μB per formula unit. Its space group is P2/m (10). For the formation energy from raw total energies, the calculation gives -1049 meV/atom. The energy is -38.7 eV per cell.

a = 4.032 Å, b = 7.083 Å, c = 6.969 Å
α = 71.73°, β = 90.00°, γ = 90.00°
Atoms (fractional coordinates):
Sn: 0.500 0.000 0.500
Sn: 0.000 0.000 0.000
Tm: 0.000 0.500 0.500
S: 0.500 0.271 0.732
S: 0.000 0.739 0.738
S: 0.500 0.729 0.268
S: 0.000 0.261 0.262
Na: 0.500 0.500 0.000

DFT (GGA-PBE) results for a relaxed structure of Pm2HoPd.

For the excess energy over the best structure of this formula in the dataset, the calculation gives 0 meV per atom. The formation energy from the elements is -432 meV per atom. As for the total magnetization: 0.00 μB per formula unit. Its space group is Pnma (62). The energy is -84.0 eV per cell.

a = 6.504 Å, b = 7.124 Å, c = 10.015 Å
α = 90.00°, β = 90.00°, γ = 90.00°
Atoms (fractional coordinates):
Pm: 0.173 0.683 0.060
Pm: 0.827 0.317 0.940
Pm: 0.173 0.683 0.440
Pm: 0.673 0.817 0.940
Pm: 0.827 0.317 0.560
Pm: 0.327 0.183 0.440
Pm: 0.673 0.817 0.560
Pm: 0.327 0.183 0.060
Ho: 0.357 0.471 0.750
Ho: 0.643 0.529 0.250
Ho: 0.857 0.029 0.250
Ho: 0.143 0.971 0.750
Pd: 0.445 0.886 0.250
Pd: 0.555 0.114 0.750
Pd: 0.945 0.614 0.750
Pd: 0.055 0.386 0.250

DFT (GGA-PBE) results for a relaxed structure of Te3Se.

As for the total magnetization: 0.00 μB per formula unit. Its space group is Cmmm (65). For the formation energy from raw total energies, the calculation gives 62 meV/atom. The energy is -12.7 eV per cell.

a = 4.428 Å, b = 5.367 Å, c = 5.357 Å
α = 70.68°, β = 90.00°, γ = 90.00°
Atoms (fractional coordinates):
Te: 0.000 0.500 0.500
Te: 0.500 0.244 0.244
Te: 0.500 0.756 0.756
Se: 0.000 0.000 0.000

- Among the records above, which one has the lowest energy?
  Pm2HoPd